(1)
DFT (PBE-GGA) results for a geometry-optimized NaSi2SnS6 structure.

For the raw formation energy, the calculation gives -580.9 meV per atom. For the magnetization, the calculation gives 0.00 μB/cell. The calculation puts the total energy at -186.97 eV for the cell shown.

It has space group C2/c (No. 15), with a = 12.412 Å, b = 12.104 Å, c = 6.358 Å, α = 90.00°, β = 103.09° and γ = 90.00°. Symmetry generates all atoms from Na at (0.000, 0.099, 0.250), Si at (0.209, 0.416, 0.262), Sn at (0.000, 0.270, 0.750), S at (0.116, 0.092, 0.670), S at (0.138, 0.266, 0.140) and S at (0.145, 0.443, 0.556).

---

(2)
DFT (PBE-GGA) results for a geometry-optimized NaSiSn2S structure.

For the raw formation energy, the calculation gives 347.7 meV per atom. For the magnetization, the calculation gives 0.00 μB/cell. The calculation puts the total energy at -17.14 eV for the cell shown.

It has space group P4/mmm (No. 123), with a = 5.184 Å, b = 5.184 Å, c = 5.353 Å, α = 90.00°, β = 90.00° and γ = 90.00°. Symmetry generates all atoms from Na at (0.000, 0.000, 0.000), Si at (0.000, 0.000, 0.500), Sn at (0.000, 0.500, 0.500) and S at (0.500, 0.500, 0.000).

---

(3)
DFT (PBE-GGA) results for a geometry-optimized NaSr2SiS4 structure.

For the raw formation energy, the calculation gives -1168.9 meV per atom. For the magnetization, the calculation gives 0.00 μB/cell. The calculation puts the total energy at -143.87 eV for the cell shown.

It has space group Imma (No. 74), with a = 8.076 Å, b = 8.136 Å, c = 11.265 Å, α = 90.00°, β = 90.00° and γ = 90.00°. Symmetry generates all atoms from Na at (0.000, 0.000, 0.000), Sr at (0.000, 0.000, 0.500), Sr at (0.250, 0.250, 0.250), Si at (0.250, 0.250, 0.750), S at (0.000, 0.031, 0.755) and S at (0.245, 0.250, 0.969).